No. 1
Density functional theory data (PBEsol) for a relaxed structure of BaAl2Mo.

Results
Size of the total moment: 0.0 μB/cell
Relative energy among the computed polymorphs: 0.122 eV/atom
N(E_F): 6.24 states/eV per cell
Space-group type: No. 119
Calculated total energy: -4.7346 eV per atom
DFT formation energy: 790 meV per atom

Cell: 4.864 4.864 4.864 Å, 119.89 119.89 90.20°
Element x y z (fractional)
Ba  0.000  0.000  0.000
Al  0.250  0.750  0.500
Al  0.500  0.500  0.000
Mo  0.750  0.250  0.500

No. 2
Density functional theory data (PBEsol) for a relaxed structure of Ba2AlMo.

Results
Size of the total moment: 3.1 μB/cell
N(E_F): 3.68 states/eV per cell
Space-group type: No. 65
Calculated total energy: -4.1431 eV per atom
DFT formation energy: 896 meV per atom

Cell: 5.649 5.649 3.902 Å, 90.00 90.00 90.14°
Element x y z (fractional)
Ba  0.000  0.500  0.000
Ba  0.500  0.000  0.000
Al  0.000  0.000  0.500
Mo  0.500  0.500  0.500

No. 3
Density functional theory data (PBEsol) for a relaxed structure of Ba2AlN.

Results
Size of the total moment: 0.0 μB/cell
Energy relative to the elements, uncorrected: 12.182 kcal/mol of atoms
N(E_F): 4.61 states/eV per cell
Space-group type: No. 225
Calculated total energy: -3.7008 eV per atom

Cell: 5.345 5.345 5.345 Å, 60.00 60.00 60.00°
Element x y z (fractional)
Ba  0.250  0.250  0.250
Ba  0.750  0.750  0.750
Al  0.000  0.000  0.000
N  0.500  0.500  0.500

No. 4
Density functional theory data (PBEsol) for a relaxed structure of Ba3Al3N5.

Results
Size of the total moment: 0.0 μB/cell
Energy relative to the elements, uncorrected: -24.488 kcal/mol of atoms
N(E_F): 0.00 states/eV per cell
Space-group type: No. 2
Calculated total energy: -6.6396 eV per atom

Cell: 5.880 7.553 8.789 Å, 108.92 100.85 96.50°
Element x y z (fractional)
Ba  0.162  0.158  0.216
Ba  0.167  0.357  0.881
Ba  0.310  0.927  0.610
Ba  0.690  0.073  0.390
Ba  0.833  0.643  0.119
Ba  0.838  0.842  0.784
Al  0.198  0.470  0.580
Al  0.398  0.608  0.293
Al  0.415  0.820  0.977
Al  0.585  0.180  0.023
Al  0.602  0.392  0.707
Al  0.802  0.530  0.420
N  0.129  0.547  0.389
N  0.280  0.017  0.921
N  0.311  0.719  0.131
N  0.323  0.243  0.543
N  0.438  0.611  0.781
N  0.562  0.389  0.219
N  0.677  0.757  0.457
N  0.689  0.281  0.869
N  0.720  0.983  0.079
N  0.871  0.453  0.611

No. 5
Density functional theory data (PBEsol) for a relaxed structure of BaAlN2O.

Results
Size of the total moment: 3.0 μB/cell
Energy relative to the elements, uncorrected: -17.748 kcal/mol of atoms
N(E_F): 1.49 states/eV per cell
Space-group type: No. 123
Calculated total energy: -6.4782 eV per atom

Cell: 4.028 4.028 3.936 Å, 90.00 90.00 90.00°
Element x y z (fractional)
Ba  0.000  0.000  0.000
Al  0.500  0.500  0.500
N  0.000  0.500  0.500
N  0.500  0.000  0.500
O  0.500  0.500  0.000

No. 6
Density functional theory data (PBEsol) for a relaxed structure of BaNaAl3.

Results
Size of the total moment: 0.0 μB/cell
N(E_F): 3.28 states/eV per cell
Space-group type: No. 221
Calculated total energy: -2.6067 eV per atom
DFT formation energy: 558 meV per atom

Cell: 5.238 5.238 5.238 Å, 90.00 90.00 90.00°
Element x y z (fractional)
Ba  0.000  0.000  0.000
Na  0.500  0.500  0.500
Al  0.000  0.500  0.500
Al  0.500  0.000  0.500
Al  0.500  0.500  0.000

No. 7
Density functional theory data (PBEsol) for a relaxed structure of Ba2Na2Al.

Results
Size of the total moment: 0.0 μB/cell
N(E_F): 3.40 states/eV per cell
Space-group type: No. 139
Calculated total energy: -2.1880 eV per atom
DFT formation energy: 50 meV per atom

Cell: 11.291 11.291 11.291 Å, 158.10 158.10 31.17°
Element x y z (fractional)
Ba  0.086  0.086  0.000
Ba  0.914  0.914  0.000
Na  0.250  0.750  0.500
Na  0.750  0.250  0.500
Al  0.500  0.500  0.000

No. 8
Density functional theory data (PBEsol) for a relaxed structure of Ba3NbAl.

Results
Size of the total moment: 0.0 μB/cell
N(E_F): 7.94 states/eV per cell
Space-group type: No. 221
Calculated total energy: -3.3897 eV per atom
DFT formation energy: 882 meV per atom

Cell: 5.876 5.876 5.876 Å, 90.00 90.00 90.00°
Element x y z (fractional)
Ba  0.000  0.000  0.500
Ba  0.000  0.500  0.000
Ba  0.500  0.000  0.000
Nb  0.000  0.000  0.000
Al  0.500  0.500  0.500

No. 9
Density functional theory data (PBEsol) for a relaxed structure of Ba2NbAl2.

Results
Size of the total moment: 0.0 μB/cell
N(E_F): 3.70 states/eV per cell
Space-group type: No. 139
Calculated total energy: -3.8427 eV per atom
DFT formation energy: 818 meV per atom

Cell: 8.051 8.051 8.051 Å, 149.64 149.64 43.47°
Element x y z (fractional)
Ba  0.250  0.750  0.500
Ba  0.750  0.250  0.500
Nb  0.000  0.000  0.000
Al  0.420  0.420  0.000
Al  0.580  0.580  0.000

No. 10
Density functional theory data (PBEsol) for a relaxed structure of Ba2NdAlO5.

Results
Size of the total moment: 0.0 μB/cell
Energy relative to the elements, uncorrected: -68.816 kcal/mol of atoms
N(E_F): 0.00 states/eV per cell
Space-group type: No. 4
Calculated total energy: -7.4067 eV per atom

Cell: 7.340 6.108 7.558 Å, 90.00 118.21 90.00°
Element x y z (fractional)
Ba  0.139  0.000  0.399
Ba  0.298  0.503  0.145
Ba  0.702  0.003  0.855
Ba  0.861  0.500  0.601
Nd  0.405  0.498  0.671
Nd  0.595  0.998  0.329
Al  0.171  0.985  0.835
Al  0.829  0.485  0.165
O  0.091  0.524  0.353
O  0.220  0.018  0.088
O  0.231  0.712  0.798
O  0.319  0.173  0.777
O  0.500  0.262  0.488
O  0.500  0.762  0.512
O  0.681  0.673  0.223
O  0.769  0.212  0.202
O  0.780  0.518  0.912
O  0.909  0.024  0.647

No. 11
Density functional theory data (PBEsol) for a relaxed structure of Ba6Nd2Al4O15.

Results
Size of the total moment: 0.0 μB/cell
Energy relative to the elements, uncorrected: -68.925 kcal/mol of atoms
N(E_F): 0.00 states/eV per cell
Space-group type: No. 9
Calculated total energy: -7.3716 eV per atom

Cell: 11.568 11.568 6.991 Å, 90.31 90.31 119.41°
Element x y z (fractional)
Ba  0.002  0.998  0.500
Ba  0.172  0.344  0.822
Ba  0.179  0.831  0.833
Ba  0.335  0.668  0.520
Ba  0.344  0.172  0.322
Ba  0.484  0.961  0.163
Ba  0.653  0.826  0.831
Ba  0.668  0.335  0.020
Ba  0.826  0.653  0.331
Ba  0.831  0.179  0.333
Ba  0.961  0.484  0.663
Ba  0.998  0.002  0.000
Nd  0.042  0.523  0.161
Nd  0.482  0.520  0.158
Nd  0.520  0.482  0.658
Nd  0.523  0.042  0.661
Al  0.186  0.823  0.325
Al  0.188  0.365  0.317
Al  0.337  0.665  0.981
Al  0.365  0.188  0.817
Al  0.637  0.815  0.336
Al  0.665  0.337  0.481
Al  0.815  0.637  0.836
Al  0.823  0.186  0.825
O  0.064  0.680  0.436
O  0.075  0.401  0.430
O  0.113  0.202  0.228
O  0.124  0.917  0.213
O  0.178  0.588  0.851
O  0.202  0.113  0.728
O  0.248  0.742  0.163
O  0.258  0.499  0.148
O  0.319  0.925  0.484
O  0.331  0.402  0.457
O  0.401  0.075  0.930
O  0.402  0.331  0.957
O  0.414  0.822  0.832
O  0.419  0.584  0.837
O  0.499  0.258  0.648
O  0.502  0.739  0.160
O  0.584  0.419  0.337
O  0.588  0.178  0.351
O  0.602  0.670  0.463
O  0.606  0.922  0.483
O  0.670  0.602  0.963
O  0.680  0.064  0.936
O  0.739  0.502  0.660
O  0.742  0.248  0.663
O  0.797  0.896  0.236
O  0.822  0.414  0.332
O  0.896  0.797  0.736
O  0.917  0.124  0.713
O  0.922  0.606  0.983
O  0.925  0.319  0.984

No. 12
Density functional theory data (PBEsol) for a relaxed structure of BaAl2Ni.

Results
Size of the total moment: 0.0 μB/cell
N(E_F): 2.79 states/eV per cell
Space-group type: No. 123
Calculated total energy: -4.2837 eV per atom
DFT formation energy: -161 meV per atom

Cell: 3.097 3.097 8.121 Å, 90.00 90.00 90.00°
Element x y z (fractional)
Ba  0.000  0.000  0.000
Al  0.500  0.500  0.336
Al  0.500  0.500  0.664
Ni  0.000  0.000  0.500

No. 13
Density functional theory data (PBEsol) for a relaxed structure of BaAlNi2.

Results
Size of the total moment: 0.0 μB/cell
N(E_F): 2.57 states/eV per cell
Space-group type: No. 8
Calculated total energy: -4.8331 eV per atom
DFT formation energy: -194 meV per atom

Cell: 4.203 4.203 5.698 Å, 98.39 98.39 59.52°
Element x y z (fractional)
Ba  0.000  0.000  0.000
Al  0.714  0.714  0.473
Ni  0.055  0.055  0.514
Ni  0.380  0.380  0.456

No. 14
Density functional theory data (PBEsol) for a relaxed structure of BaAlNi2.

Results
Size of the total moment: 0.0 μB/cell
N(E_F): 2.25 states/eV per cell
Space-group type: No. 12
Calculated total energy: -4.2899 eV per atom
DFT formation energy: 349 meV per atom

Cell: 4.813 4.813 3.080 Å, 90.13 90.13 89.98°
Element x y z (fractional)
Ba  0.000  0.000  0.000
Al  0.500  0.500  0.000
Ni  0.000  0.500  0.500
Ni  0.500  0.000  0.500

No. 15
Density functional theory data (PBEsol) for a relaxed structure of BaAl2Ni.

Results
Size of the total moment: 0.0 μB/cell
N(E_F): 2.43 states/eV per cell
Space-group type: No. 123
Calculated total energy: -3.7894 eV per atom
DFT formation energy: 333 meV per atom

Cell: 4.118 4.118 5.112 Å, 90.00 90.00 90.00°
Element x y z (fractional)
Ba  0.000  0.000  0.000
Al  0.000  0.500  0.500
Al  0.500  0.000  0.500
Ni  0.500  0.500  0.000

No. 16
Density functional theory data (PBEsol) for a relaxed structure of BaAlNi.

Results
Size of the total moment: 0.0 μB/cell
N(E_F): 3.12 states/eV per cell
Space-group type: No. 187
Calculated total energy: -4.1926 eV per atom
DFT formation energy: -60 meV per atom

Cell: 4.182 4.182 4.976 Å, 90.00 90.00 120.00°
Element x y z (fractional)
Ba  0.000  0.000  0.000
Al  0.667  0.333  0.500
Ni  0.333  0.667  0.500

No. 17
Density functional theory data (PBEsol) for a relaxed structure of BaAlNi2Sb.

Results
Size of the total moment: 0.0 μB/cell
Energy relative to the elements, uncorrected: 5.443 kcal/mol of atoms
N(E_F): 4.01 states/eV per cell
Space-group type: No. 123
Calculated total energy: -4.3865 eV per atom

Cell: 4.688 4.688 5.229 Å, 90.00 90.00 90.00°
Element x y z (fractional)
Ba  0.000  0.000  0.000
Al  0.500  0.500  0.500
Ni  0.000  0.500  0.500
Ni  0.500  0.000  0.500
Sb  0.500  0.500  0.000

No. 18
Density functional theory data (PBEsol) for a relaxed structure of BaAl5O9.

Results
Size of the total moment: 2.3 μB/cell
Energy relative to the elements, uncorrected: -66.660 kcal/mol of atoms
N(E_F): 17.56 states/eV per cell
Space-group type: No. 194
Calculated total energy: -7.5473 eV per atom

Cell: 5.658 5.658 13.362 Å, 90.00 90.00 120.00°
Element x y z (fractional)
Ba  0.333  0.667  0.250
Ba  0.667  0.333  0.750
Al  0.000  0.000  0.120
Al  0.000  0.000  0.380
Al  0.000  0.000  0.620
Al  0.000  0.000  0.880
Al  0.000  0.500  0.000
Al  0.000  0.500  0.500
Al  0.500  0.000  0.000
Al  0.500  0.000  0.500
Al  0.500  0.500  0.000
Al  0.500  0.500  0.500
O  0.000  0.000  0.250
O  0.000  0.000  0.750
O  0.172  0.345  0.080
O  0.172  0.345  0.420
O  0.172  0.828  0.080
O  0.172  0.828  0.420
O  0.333  0.667  0.568
O  0.333  0.667  0.932
O  0.345  0.172  0.580
O  0.345  0.172  0.920
O  0.655  0.828  0.080
O  0.655  0.828  0.420
O  0.667  0.333  0.068
O  0.667  0.333  0.432
O  0.828  0.172  0.580
O  0.828  0.172  0.920
O  0.828  0.655  0.580
O  0.828  0.655  0.920

No. 19
Density functional theory data (PBEsol) for a relaxed structure of BaAl4O7.

Results
Size of the total moment: 0.0 μB/cell
Energy relative to the elements, uncorrected: -69.344 kcal/mol of atoms
N(E_F): 0.00 states/eV per cell
Space-group type: No. 62
Calculated total energy: -7.6121 eV per atom

Cell: 10.274 12.909 4.885 Å, 90.00 90.00 90.00°
Element x y z (fractional)
Ba  0.169  0.250  0.223
Ba  0.331  0.750  0.723
Ba  0.669  0.250  0.277
Ba  0.831  0.750  0.777
Al  0.092  0.632  0.296
Al  0.092  0.868  0.296
Al  0.157  0.002  0.802
Al  0.157  0.498  0.802
Al  0.343  0.502  0.302
Al  0.343  0.998  0.302
Al  0.408  0.132  0.796
Al  0.408  0.368  0.796
Al  0.592  0.632  0.204
Al  0.592  0.868  0.204
Al  0.657  0.002  0.698
Al  0.657  0.498  0.698
Al  0.843  0.502  0.198
Al  0.843  0.998  0.198
Al  0.908  0.132  0.704
Al  0.908  0.368  0.704
O  0.071  0.118  0.800
O  0.071  0.382  0.800
O  0.110  0.615  0.651
O  0.110  0.885  0.651
O  0.163  0.750  0.210
O  0.188  0.530  0.151
O  0.188  0.970  0.151
O  0.312  0.030  0.651
O  0.312  0.470  0.651
O  0.337  0.250  0.710
O  0.390  0.115  0.151
O  0.390  0.385  0.151
O  0.429  0.618  0.300
O  0.429  0.882  0.300
O  0.571  0.118  0.700
O  0.571  0.382  0.700
O  0.610  0.615  0.849
O  0.610  0.885  0.849
O  0.663  0.750  0.290
O  0.688  0.530  0.349
O  0.688  0.970  0.349
O  0.812  0.030  0.849
O  0.812  0.470  0.849
O  0.837  0.250  0.790
O  0.890  0.115  0.349
O  0.890  0.385  0.349
O  0.929  0.618  0.200
O  0.929  0.882  0.200

No. 20
Density functional theory data (PBEsol) for a relaxed structure of BaAlO2.

Results
Size of the total moment: 0.2 μB/cell
Energy relative to the elements, uncorrected: -53.279 kcal/mol of atoms
N(E_F): 5.80 states/eV per cell
Space-group type: No. 122
Calculated total energy: -6.4952 eV per atom

Cell: 5.498 5.498 5.498 Å, 116.43 116.43 96.31°
Element x y z (fractional)
Ba  0.000  0.000  0.000
Ba  0.750  0.250  0.500
Al  0.250  0.750  0.500
Al  0.500  0.500  0.000
O  0.280  0.625  0.155
O  0.375  0.530  0.655
O  0.470  0.125  0.845
O  0.875  0.720  0.345